A PBEsol-optimized structure of LaTaCr, computed with meta-GGA SCAN.

Cell and atoms, written as POSCAR:
```
LaTaCr
1.0
-1.574 -2.765 0.536
2.593 -2.064 -3.031
1.249 0.125 4.312
Cr La Ta
1 1 1
Direct
0.019 0.000 0.000
0.689 0.333 0.667
0.292 0.667 0.333
```

Computed properties:
The value obtained for the calculated formation energy is 17.34 kcal/mol of atoms. The total magnetization comes out at 1.763 μB/f.u. The density of states at the Fermi level comes out at 3.02 states/eV/f.u. The energy is -41.939 eV/atom.



A PBEsol-optimized structure of La2TaCr, computed with meta-GGA SCAN.

Cell and atoms, written as POSCAR:
```
La2TaCr
1.0
-1.267 -1.065 2.812
1.044 -2.804 1.301
7.035 3.723 6.473
Cr La Ta
1 2 1
Direct
0.000 0.000 0.000
0.253 0.253 0.240
0.747 0.747 0.760
0.500 0.500 0.500
```

Computed properties:
The value obtained for the calculated formation energy is 15.85 kcal/mol of atoms. The total magnetization comes out at 3.623 μB/f.u. The density of states at the Fermi level comes out at 4.18 states/eV/f.u. The energy is -42.107 eV/atom.